[1]
Here is a PBEsol-optimized structure of MgOsCl from Alexandria. Energies are from SCAN.

Energy above the lowest structure with this stoichiometry ... 0.477 eV/atom
Total energy ... -83.07 eV per formula unit
Formation energy without anion corrections ... 0.587 eV/atom

a = 4.3107 Å, b = 4.3107 Å, c = 2.8965 Å
α = 90.00°, β = 90.00°, γ = 120.00°
Space group P-6m2 (No. 187)
Unique sites:
Mg: 0.0000 0.0000 0.0000
Os: 0.3333 0.6667 0.5000
Cl: 0.6667 0.3333 0.5000



[2]
Here is a PBEsol-optimized structure of MgOs2Cl from Alexandria. Energies are from SCAN.

Energy above the lowest structure with this stoichiometry ... 1.014 eV/atom
Total energy ... -152.15 eV per formula unit
Formation energy without anion corrections ... 1.142 eV/atom

a = 2.978 Å, b = 2.978 Å, c = 6.483 Å
α = 90.00°, β = 90.00°, γ = 90.00°
Space group P4/mmm (No. 123)
Unique sites:
Mg: 0.000 0.000 0.000
Os: 0.500 0.500 0.268
Cl: 0.000 0.000 0.500



[3]
Here is a PBEsol-optimized structure of MgOs2Cl from Alexandria. Energies are from SCAN.

Energy above the lowest structure with this stoichiometry ... 0.451 eV/atom
Total energy ... -154.40 eV per formula unit
Formation energy without anion corrections ... 0.579 eV/atom

a = 2.812 Å, b = 4.468 Å, c = 9.595 Å
α = 90.00°, β = 90.00°, γ = 90.00°
Space group Immm (No. 71)
Unique sites:
Mg: 0.000 0.000 0.000
Os: 0.000 0.500 0.226
Cl: 0.000 0.000 0.500



[4]
Here is a PBEsol-optimized structure of MgOs2Cl from Alexandria. Energies are from SCAN.

Energy above the lowest structure with this stoichiometry ... 0.423 eV/atom
Total energy ... -154.51 eV per formula unit
Formation energy without anion corrections ... 0.551 eV/atom

a = 3.485 Å, b = 3.485 Å, c = 6.003 Å
α = 90.00°, β = 90.00°, γ = 90.00°
Space group P4/mmm (No. 123)
Unique sites:
Mg: 0.000 0.000 0.000
Os: 0.000 0.500 0.500
Cl: 0.500 0.500 0.000



[5]
Here is a PBEsol-optimized structure of MgP2OsCl from Alexandria. Energies are from SCAN.

Total energy ... -98.70 eV per formula unit
Formation energy without anion corrections ... 1.385 eV/atom

a = 4.741 Å, b = 4.741 Å, c = 4.425 Å
α = 90.00°, β = 90.00°, γ = 90.00°
Space group P4/mmm (No. 123)
Unique sites:
Mg: 0.000 0.000 0.000
P: 0.000 0.500 0.000
Os: 0.500 0.500 0.500
Cl: 0.000 0.000 0.500



[6]
Here is a PBEsol-optimized structure of MgPCl2 from Alexandria. Energies are from SCAN.

Total energy ... -33.72 eV per formula unit
Formation energy without anion corrections ... -0.597 eV/atom

a = 3.333 Å, b = 5.193 Å, c = 4.791 Å
α = 90.00°, β = 90.00°, γ = 90.00°
Space group Pmm2 (No. 25)
Unique sites:
Mg: 0.000 0.000 0.000
P: 0.500 0.500 0.958
Cl: 0.000 0.000 0.497
Cl: 0.500 0.500 0.538



[7]
Here is a PBEsol-optimized structure of Mg2PCl from Alexandria. Energies are from SCAN.

Total energy ... -30.05 eV per formula unit
Formation energy without anion corrections ... -0.432 eV/atom

a = 3.102 Å, b = 3.102 Å, c = 8.684 Å
α = 90.00°, β = 90.00°, γ = 90.00°
Space group P4mm (No. 99)
Unique sites:
Mg: 0.000 0.000 0.000
Mg: 0.500 0.500 0.308
P: 0.500 0.500 0.823
Cl: 0.000 0.000 0.463



[8]
Here is a PBEsol-optimized structure of MgPPbCl2 from Alexandria. Energies are from SCAN.

Total energy ... -110.54 eV per formula unit
Formation energy without anion corrections ... -0.687 eV/atom

a = 4.648 Å, b = 4.648 Å, c = 5.384 Å
α = 90.00°, β = 90.00°, γ = 90.00°
Space group P4/mmm (No. 123)
Unique sites:
Mg: 0.000 0.000 0.000
P: 0.000 0.000 0.500
Pb: 0.500 0.500 0.500
Cl: 0.000 0.500 0.000



[9]
Here is a PBEsol-optimized structure of MgReP2Cl from Alexandria. Energies are from SCAN.

Total energy ... -103.53 eV per formula unit
Formation energy without anion corrections ... 0.264 eV/atom

a = 4.529 Å, b = 4.529 Å, c = 5.146 Å
α = 90.00°, β = 90.00°, γ = 90.00°
Space group P4/mmm (No. 123)
Unique sites:
Mg: 0.000 0.000 0.000
Re: 0.500 0.500 0.500
P: 0.000 0.500 0.500
Cl: 0.500 0.500 0.000



[10]
Here is a PBEsol-optimized structure of MgPRhCl2 from Alexandria. Energies are from SCAN.

Total energy ... -66.01 eV per formula unit
Formation energy without anion corrections ... -0.183 eV/atom

a = 4.817 Å, b = 4.817 Å, c = 4.497 Å
α = 90.00°, β = 90.00°, γ = 90.00°
Space group P4/mmm (No. 123)
Unique sites:
Mg: 0.000 0.000 0.000
P: 0.500 0.500 0.000
Rh: 0.500 0.500 0.500
Cl: 0.000 0.500 0.500



[11]
Here is a PBEsol-optimized structure of MgP2SeCl from Alexandria. Energies are from SCAN.

Total energy ... -50.95 eV per formula unit
Formation energy without anion corrections ... 0.575 eV/atom

a = 4.762 Å, b = 4.762 Å, c = 4.901 Å
α = 90.00°, β = 90.00°, γ = 90.00°
Space group P4/mmm (No. 123)
Unique sites:
Mg: 0.000 0.000 0.000
P: 0.000 0.500 0.500
Se: 0.500 0.500 0.500
Cl: 0.500 0.500 0.000



[12]
Here is a PBEsol-optimized structure of MgTaP2Cl from Alexandria. Energies are from SCAN.

Total energy ... -95.81 eV per formula unit
Formation energy without anion corrections ... 0.904 eV/atom

a = 4.711 Å, b = 4.711 Å, c = 4.417 Å
α = 90.00°, β = 90.00°, γ = 90.00°
Space group P4/mmm (No. 123)
Unique sites:
Mg: 0.000 0.000 0.000
Ta: 0.500 0.500 0.500
P: 0.000 0.500 0.000
Cl: 0.000 0.000 0.500



[13]
Here is a PBEsol-optimized structure of MgTeP2Cl from Alexandria. Energies are from SCAN.

Total energy ... -69.36 eV per formula unit
Formation energy without anion corrections ... 0.329 eV/atom

a = 4.949 Å, b = 4.949 Å, c = 4.486 Å
α = 90.00°, β = 90.00°, γ = 90.00°
Space group P4/mmm (No. 123)
Unique sites:
Mg: 0.000 0.000 0.000
Te: 0.500 0.500 0.500
P: 0.000 0.500 0.000
Cl: 0.000 0.000 0.500



[14]
Here is a PBEsol-optimized structure of MgZrP2Cl from Alexandria. Energies are from SCAN.

Total energy ... -64.08 eV per formula unit
Formation energy without anion corrections ... 0.074 eV/atom

a = 4.757 Å, b = 4.757 Å, c = 4.450 Å
α = 90.00°, β = 90.00°, γ = 90.00°
Space group P4/mmm (No. 123)
Unique sites:
Mg: 0.000 0.000 0.000
Zr: 0.500 0.500 0.500
P: 0.000 0.500 0.000
Cl: 0.000 0.000 0.500



[15]
Here is a PBEsol-optimized structure of MgPbCl2 from Alexandria. Energies are from SCAN.

Energy above the lowest structure with this stoichiometry ... 0.230 eV/atom
Total energy ... -101.37 eV per formula unit
Formation energy without anion corrections ... -1.166 eV/atom

a = 3.514 Å, b = 5.840 Å, c = 11.510 Å
α = 90.00°, β = 90.00°, γ = 90.00°
Space group Cmmm (No. 65)
Unique sites:
Mg: 0.000 0.000 0.000
Pb: 0.000 0.000 0.500
Cl: 0.000 0.500 0.140



[16]
Here is a PBEsol-optimized structure of MgPbCl2 from Alexandria. Energies are from SCAN.

Energy above the lowest structure with this stoichiometry ... 0.773 eV/atom
Total energy ... -99.20 eV per formula unit
Formation energy without anion corrections ... -0.623 eV/atom

a = 4.086 Å, b = 4.086 Å, c = 12.079 Å
α = 90.00°, β = 90.00°, γ = 90.00°
Space group I-4m2 (No. 119)
Unique sites:
Mg: 0.000 0.000 0.000
Pb: 0.000 0.500 0.250
Cl: 0.000 0.000 0.500
Cl: 0.000 0.500 0.750



[17]
Here is a PBEsol-optimized structure of MgPbCl2 from Alexandria. Energies are from SCAN.

Energy above the lowest structure with this stoichiometry ... 0.000 eV/atom
Total energy ... -102.29 eV per formula unit
Formation energy without anion corrections ... -1.396 eV/atom

a = 3.4619 Å, b = 3.4619 Å, c = 33.8937 Å
α = 90.00°, β = 90.00°, γ = 120.00°
Space group R-3m (No. 166, hexagonal axes)
Unique sites:
Mg: 0.0000 0.0000 0.0000
Pb: 0.0000 0.0000 0.5000
Cl: 0.0000 0.0000 0.2911



[18]
Here is a PBEsol-optimized structure of MgPbCl2 from Alexandria. Energies are from SCAN.

Energy above the lowest structure with this stoichiometry ... 0.442 eV/atom
Total energy ... -100.53 eV per formula unit
Formation energy without anion corrections ... -0.954 eV/atom

a = 3.7785 Å, b = 3.7785 Å, c = 26.4503 Å
α = 90.00°, β = 90.00°, γ = 120.00°
Space group R3m (No. 160, hexagonal axes)
Unique sites:
Mg: 0.0000 0.0000 0.0000
Pb: 0.0000 0.0000 0.2351
Cl: 0.0000 0.0000 0.4982
Cl: 0.0000 0.0000 0.7149



[19]
Here is a PBEsol-optimized structure of MgPb2Cl from Alexandria. Energies are from SCAN.

Total energy ... -165.73 eV per formula unit
Formation energy without anion corrections ... -0.304 eV/atom

a = 7.413 Å, b = 7.413 Å, c = 7.413 Å
α = 90.00°, β = 90.00°, γ = 90.00°
Space group F-43m (No. 216)
Unique sites:
Mg: 0.000 0.000 0.000
Pb: 0.000 0.000 0.500
Pb: 0.250 0.250 0.750
Cl: 0.250 0.250 0.250



[20]
Here is a PBEsol-optimized structure of MgPbCl2 from Alexandria. Energies are from SCAN.

Energy above the lowest structure with this stoichiometry ... 0.794 eV/atom
Total energy ... -99.12 eV per formula unit
Formation energy without anion corrections ... -0.602 eV/atom

a = 4.695 Å, b = 4.695 Å, c = 8.538 Å
α = 90.00°, β = 90.00°, γ = 90.00°
Space group I4/mmm (No. 139)
Unique sites:
Mg: 0.000 0.000 0.000
Pb: 0.000 0.000 0.500
Cl: 0.000 0.500 0.250